## Mg3CuAu4 (GGA-PBE)

Data for an optimized crystal structure of Mg3CuAu4.

Calculated values
V   138 Å³/cell
M_tot   0.0 Bohr magnetons per cell
ρ   11.10 Mg/m³
E_form   -0.468 eV/atom
E   -3.22 eV per atom

a = 3.3740 Å, b = 3.3740 Å, c = 12.1507 Å
α = 90.00°, β = 90.00°, γ = 90.00°
Last column: nearest neighbours and their distance in Å.
Fractional positions:
Mg 0.5000 0.5000 0.2384  8 Au 2.81-2.87, 1 Cu 2.90
Mg 0.5000 0.5000 0.5000  8 Au 2.86, 2 Mg 3.18
Mg 0.5000 0.5000 0.7616  8 Au 2.81-2.87, 1 Cu 2.90
Au 0.0000 0.0000 0.8836  4 Cu 2.77, 4 Mg 2.81, 2 Au 2.83-3.08
Au 0.0000 0.0000 0.1164  4 Cu 2.77, 4 Mg 2.81, 2 Au 2.83-3.08
Au 0.0000 0.0000 0.3702  8 Mg 2.86-2.87, 2 Au 3.08-3.15
Au 0.0000 0.0000 0.6298  8 Mg 2.86-2.87, 2 Au 3.08-3.15
Cu 0.5000 0.5000 0.0000  8 Au 2.77, 2 Mg 2.90



## Mg8CuAu2 (GGA-PBE)

Data for an optimized crystal structure of Mg8CuAu2.

Calculated values
V   217 Å³/cell
M_tot   0.0 Bohr magnetons per cell
ρ   4.99 Mg/m³
E_form   -0.295 eV/atom
Energy above the most stable polymorph in this dataset   0 meV/atom
E   -2.42 eV per atom

a = 4.6280 Å, b = 6.6496 Å, c = 8.0281 Å
α = 112.48°, β = 106.75°, γ = 90.00°
Last column: nearest neighbours and their distance in Å.
Fractional positions:
Mg 0.3989 0.5654 0.7979  1 Cu 2.68, 2 Au 2.80, 2 Mg 2.96
Mg 0.6637 0.9323 0.3274  1 Cu 2.73, 3 Au 2.76-2.94, 2 Mg 3.04-3.06
Mg 0.8099 0.7305 0.6198  3 Au 2.77-2.99, 4 Mg 3.02-3.10
Mg 0.9789 0.2198 0.9577  1 Au 2.78, 2 Cu 2.82, 4 Mg 2.96-3.07
Mg 0.1901 0.2695 0.3802  3 Au 2.77-2.99, 4 Mg 3.02-3.10
Mg 0.3363 0.0677 0.6726  1 Cu 2.73, 3 Au 2.76-2.94, 2 Mg 3.04-3.06
Mg 0.6011 0.4346 0.2021  1 Cu 2.68, 2 Au 2.80, 2 Mg 2.96
Mg 0.0211 0.7802 0.0423  1 Au 2.78, 2 Cu 2.82, 4 Mg 2.96-3.07
Cu 0.5000 0.0000 0.0000  8 Mg 2.68-2.82
Au 0.8210 0.3244 0.6420  9 Mg 2.76-2.99
Au 0.1790 0.6756 0.3580  9 Mg 2.76-2.99



## Mg2Cu2Au (GGA-PBE)

Data for an optimized crystal structure of Mg2Cu2Au.

Calculated values
V   166 Å³/cell
M_tot   0.0 Bohr magnetons per cell
ρ   7.47 Mg/m³
E_form   -0.022 eV/atom
Energy above the most stable polymorph in this dataset   185 meV/atom
E   -2.95 eV per atom

a = 7.2923 Å, b = 7.2923 Å, c = 3.1139 Å
α = 90.00°, β = 90.00°, γ = 90.00°
Last column: nearest neighbours and their distance in Å.
Fractional positions:
Mg 0.3432 0.8432 0.0000  6 Cu 2.64-2.66, 2 Au 2.75
Mg 0.8432 0.6568 0.0000  6 Cu 2.64-2.66, 2 Au 2.75
Mg 0.6568 0.1568 0.0000  6 Cu 2.64-2.66, 2 Au 2.75
Mg 0.1568 0.3432 0.0000  6 Cu 2.64-2.66, 2 Au 2.75
Au 0.0000 0.0000 0.0000  4 Mg 2.75
Au 0.5000 0.5000 0.0000  4 Mg 2.75
Cu 0.1339 0.6339 0.5000  6 Mg 2.64-2.66, 1 Cu 2.76
Cu 0.6339 0.8661 0.5000  6 Mg 2.64-2.66, 1 Cu 2.76
Cu 0.8661 0.3661 0.5000  6 Mg 2.64-2.66, 1 Cu 2.76
Cu 0.3661 0.1339 0.5000  6 Mg 2.64-2.66, 1 Cu 2.76



## MgCuAu3 (GGA-PBE)

Data for an optimized crystal structure of MgCuAu3.

Calculated values
V   110 Å³/cell
M_tot   0.0 Bohr magnetons per cell
ρ   10.28 Mg/m³
E_form   0.245 eV/atom
Energy above the most stable polymorph in this dataset   532 meV/atom
E   -2.86 eV per atom

a = 4.7863 Å, b = 4.7863 Å, c = 4.7863 Å
α = 90.00°, β = 90.00°, γ = 90.00°
Last column: nearest neighbours and their distance in Å.
Fractional positions:
Mg 0.5000 0.5000 0.5000  12 Au 3.38
Au 0.0000 0.5000 0.0000  2 Cu 2.39
Au 0.0000 0.0000 0.5000  2 Cu 2.39
Au 0.5000 0.0000 0.0000  2 Cu 2.39
Cu 0.0000 0.0000 0.0000  6 Au 2.39



## Mg2CuAu4 (GGA-PBE)

Data for an optimized crystal structure of Mg2CuAu4.

Calculated values
V   128 Å³/cell
M_tot   0.0 Bohr magnetons per cell
ρ   11.64 Mg/m³
E_form   -0.344 eV/atom
E   -3.26 eV per atom

a = 5.6632 Å, b = 5.6632 Å, c = 5.6632 Å
α = 90.00°, β = 120.00°, γ = 120.00°
Last column: nearest neighbours and their distance in Å.
Fractional positions:
Mg 0.5000 0.5000 0.0000  2 Cu 2.83, 8 Au 2.83
Mg 0.5000 0.0000 0.5000  2 Cu 2.83, 8 Au 2.83
Cu 0.0000 0.0000 0.0000  4 Mg 2.83, 8 Au 2.83
Au 0.5000 0.0000 0.0000  4 Au 2.83, 2 Cu 2.83, 4 Mg 2.83
Au 0.5000 0.5000 0.5000  4 Au 2.83, 4 Mg 2.83, 2 Cu 2.83
Au 0.0000 0.0000 0.5000  4 Au 2.83, 4 Mg 2.83, 2 Cu 2.83
Au 0.0000 0.5000 0.0000  4 Au 2.83, 4 Mg 2.83, 2 Cu 2.83



## Mg2Cu2Au (GGA-PBE)

Data for an optimized crystal structure of Mg2Cu2Au.

Calculated values
V   165 Å³/cell
M_tot   0.0 Bohr magnetons per cell
ρ   7.48 Mg/m³
E_form   -0.207 eV/atom
Energy above the most stable polymorph in this dataset   0 meV/atom
E   -3.14 eV per atom

a = 6.7680 Å, b = 6.7680 Å, c = 3.6125 Å
α = 90.00°, β = 90.00°, γ = 90.00°
Last column: nearest neighbours and their distance in Å.
Fractional positions:
Mg 0.1722 0.6722 0.5000  6 Cu 2.64-2.73
Mg 0.6722 0.8278 0.5000  6 Cu 2.64-2.73
Mg 0.8278 0.3278 0.5000  6 Cu 2.64-2.73
Mg 0.3278 0.1722 0.5000  6 Cu 2.64-2.73
Au 0.0000 0.0000 0.0000  4 Cu 2.67
Au 0.5000 0.5000 0.0000  4 Cu 2.67
Cu 0.3735 0.8735 0.0000  1 Cu 2.42, 2 Mg 2.64, 2 Au 2.67
Cu 0.8735 0.6265 0.0000  1 Cu 2.42, 2 Mg 2.64, 2 Au 2.67
Cu 0.6265 0.1265 0.0000  1 Cu 2.42, 2 Mg 2.64, 2 Au 2.67
Cu 0.1265 0.3735 0.0000  1 Cu 2.42, 2 Mg 2.64, 2 Au 2.67